1.
## SrZn (PBE)

Data for a relaxed structure of SrZn.

Computed properties:
SG: No. 70
electronic total energy: -1.5842 eV/atom
volume: 1061.84 Å³/cell
formation enthalpy at 0 K: -106 meV/atom
mass density: 3.83 g/cm³

Lattice parameters (Å, degrees): 8.0224 10.3056 12.8435 90.00 90.00 90.00
Atoms (fractional coordinates):
1 Sr 0.0000 0.7982 0.0000
2 Sr 0.0000 0.2018 0.0000
3 Sr 0.2500 0.9518 0.2500
4 Sr 0.2500 0.5482 0.2500
5 Sr 0.0000 0.2982 0.5000
6 Sr 0.0000 0.7018 0.5000
7 Sr 0.2500 0.4518 0.7500
8 Sr 0.2500 0.0482 0.7500
9 Sr 0.5000 0.7982 0.5000
10 Sr 0.5000 0.2018 0.5000
11 Sr 0.7500 0.9518 0.7500
12 Sr 0.7500 0.5482 0.7500
13 Sr 0.5000 0.2982 0.0000
14 Sr 0.5000 0.7018 0.0000
15 Sr 0.7500 0.4518 0.2500
16 Sr 0.7500 0.0482 0.2500
17 Zn 0.3373 0.0000 0.0000
18 Zn 0.6627 0.0000 0.0000
19 Zn 0.9127 0.7500 0.2500
20 Zn 0.5873 0.7500 0.2500
21 Zn 0.3373 0.5000 0.5000
22 Zn 0.6627 0.5000 0.5000
23 Zn 0.9127 0.2500 0.7500
24 Zn 0.5873 0.2500 0.7500
25 Zn 0.8373 0.0000 0.5000
26 Zn 0.1627 0.0000 0.5000
27 Zn 0.4127 0.7500 0.7500
28 Zn 0.0873 0.7500 0.7500
29 Zn 0.8373 0.5000 0.0000
30 Zn 0.1627 0.5000 0.0000
31 Zn 0.4127 0.2500 0.2500
32 Zn 0.0873 0.2500 0.2500

=====

2.
## SrZn3 (PBE)

Data for a relaxed structure of SrZn3.

Computed properties:
SG: No. 221
electronic total energy: -1.3774 eV/atom
volume: 94.29 Å³/cell
formation enthalpy at 0 K: -2 meV/atom
mass density: 5.00 g/cm³

Lattice parameters (Å, degrees): 4.5515 4.5515 4.5516 90.00 90.00 90.00
Atoms (fractional coordinates):
1 Sr 0.0000 0.0000 0.0000
2 Zn 0.0000 0.5000 0.5000
3 Zn 0.5000 0.0000 0.5000
4 Zn 0.5000 0.5000 0.0000

=====

3.
## SrZn12 (PBE)

Data for a relaxed structure of SrZn12.

Computed properties:
SG: No. 225
electronic total energy: -1.1014 eV/atom
volume: 300.69 Å³/cell
formation enthalpy at 0 K: 204 meV/atom
energy above the most stable polymorph in this dataset: 324.2 meV/atom
mass density: 4.82 g/cm³

Lattice parameters (Å, degrees): 7.5199 7.5199 7.5199 60.00 60.00 60.00
Atoms (fractional coordinates):
1 Sr 0.0000 0.0000 0.0000
2 Zn 0.8397 0.5000 0.5000
3 Zn 0.1603 0.5000 0.5000
4 Zn 0.1603 0.8397 0.5000
5 Zn 0.5000 0.5000 0.1603
6 Zn 0.5000 0.1603 0.8397
7 Zn 0.5000 0.8397 0.1603
8 Zn 0.1603 0.5000 0.8397
9 Zn 0.5000 0.1603 0.5000
10 Zn 0.5000 0.5000 0.8397
11 Zn 0.8397 0.5000 0.1603
12 Zn 0.5000 0.8397 0.5000
13 Zn 0.8397 0.1603 0.5000

=====

4.
## SrZn2 (PBE)

Data for a relaxed structure of SrZn2.

Computed properties:
SG: No. 12
electronic total energy: -1.5719 eV/atom
volume: 154.69 Å³/cell
formation enthalpy at 0 K: -162 meV/atom
mass density: 4.69 g/cm³

Lattice parameters (Å, degrees): 6.8437 6.8437 6.2891 65.00 65.00 35.88
Atoms (fractional coordinates):
1 Sr 0.0211 0.0211 0.0383
2 Sr 0.3678 0.3678 0.6839
3 Zn 0.3033 0.3033 0.2436
4 Zn 0.6862 0.6862 0.5826
5 Zn 0.7027 0.7027 0.1396
6 Zn 0.0856 0.0856 0.4786

=====

Question: mass density of number 3 (SrZn12)?
Answer: 4.82 g/cm³